Re3BF | PBE-GGA | relaxed

Summary:
N(E_F)   0.874 states/eV/atom
Spin magnetization   0.00 μB/atom
Space group   No. 221
Electronic total energy   -8.252 eV per atom
E_form (uncorrected)   0.93 eV/atom

abc: 4.1223 4.1223 4.1223
angles: 90.00 90.00 90.00
Closest atoms and distances in Å follow each position.
Sites, in units of the cell vectors:
B  0.0000  0.0000  0.0000  6 Re 2.06
F  0.5000  0.5000  0.5000  12 Re 2.91
Re  0.5000  0.0000  0.0000  2 B 2.06
Re  0.0000  0.0000  0.5000  2 B 2.06
Re  0.0000  0.5000  0.0000  2 B 2.06

***

ReBF2 | PBE-GGA | relaxed

Summary:
N(E_F)   1.066 states/eV/atom
Spin magnetization   0.05 μB/atom
Space group   No. 225
Electronic total energy   -4.860 eV per atom
E_form (uncorrected)   0.86 eV/atom

abc: 3.8993 3.8993 3.8993
angles: 60.00 60.00 60.00
Closest atoms and distances in Å follow each position.
Sites, in units of the cell vectors:
B  0.0000  0.0000  0.0000  8 F 2.39
F  0.7500  0.7500  0.7500  4 Re 2.39, 4 B 2.39
Re  0.5000  0.5000  0.5000  8 F 2.39
F  0.2500  0.2500  0.2500  4 Re 2.39, 4 B 2.39